Record 1
Here is crystalline CsNaSc2Cl8 at its relaxed geometry from Alexandria. Energies are from PBE.

The calculation puts the total energy at -4.474 eV per atom. The energy relative to the elements, uncorrected is -2.007 eV/atom.

The structure belongs to space group R-3 (No. 148, hexagonal axes); the cell edges are 6.8902, 6.8902 and 29.2183 Å and the angles 90.00°, 90.00° and 120.00°. Symmetry generates all atoms from Cs at (0.0000, 0.0000, 0.0000), Na at (0.0000, 0.0000, 0.5000), Sc at (0.0000, 0.0000, 0.2451), Cl at (0.0000, 0.0000, 0.3253) and Cl at (0.0004, 0.3413, 0.5572).

Record 2
Here is crystalline Cs2NaScCl6 at its relaxed geometry from Alexandria. Energies are from PBE.

The calculation puts the total energy at -4.119 eV per atom. The energy relative to the elements, uncorrected is -2.076 eV/atom.

The structure belongs to space group Fm-3m (No. 225); the cell edges are 10.666, 10.666 and 10.666 Å and the angles 90.00°, 90.00° and 90.00°. Symmetry generates all atoms from Cs at (0.250, 0.250, 0.250), Na at (0.000, 0.000, 0.000), Sc at (0.000, 0.000, 0.500) and Cl at (0.000, 0.000, 0.265).

Record 3
Here is crystalline CsNaScCl5 at its relaxed geometry from Alexandria. Energies are from PBE.

The calculation puts the total energy at -4.235 eV per atom. The energy relative to the elements, uncorrected is -2.017 eV/atom.

The structure belongs to space group C2/c (No. 15); the cell edges are 8.722, 12.768 and 9.849 Å and the angles 90.00°, 108.31° and 90.00°. Symmetry generates all atoms from Cs at (0.000, 0.165, 0.250), Na at (0.000, 0.184, 0.750), Sc at (0.000, 0.500, 0.000), Cl at (0.000, 0.447, 0.250), Cl at (0.086, 0.317, 0.576) and Cl at (0.211, 0.054, 0.941).

Record 4
Here is crystalline CsNa2SeCl at its relaxed geometry from Alexandria. Energies are from PBE.

The calculation puts the total energy at -3.112 eV per atom. The energy relative to the elements, uncorrected is -1.347 eV/atom.

The structure belongs to space group I4mm (No. 107); the cell edges are 4.764, 4.764 and 15.084 Å and the angles 90.00°, 90.00° and 90.00°. Symmetry generates all atoms from Cs at (0.000, 0.000, 0.000), Na at (0.000, 0.500, 0.224), Se at (0.000, 0.000, 0.622) and Cl at (0.000, 0.000, 0.323).

Record 5
Here is crystalline Cs2NaSeCl6 at its relaxed geometry from Alexandria. Energies are from PBE.

The calculation puts the total energy at -2.968 eV per atom. The energy relative to the elements, uncorrected is -1.209 eV/atom.

The structure belongs to space group I4/mmm (No. 139); the cell edges are 7.715, 7.715 and 10.545 Å and the angles 90.00°, 90.00° and 90.00°. Symmetry generates all atoms from Cs at (0.000, 0.500, 0.250), Na at (0.000, 0.000, 0.000), Se at (0.000, 0.000, 0.500), Cl at (0.000, 0.000, 0.272) and Cl at (0.245, 0.245, 0.500).

Record 6
Here is crystalline Cs2NaSeCl6 at its relaxed geometry from Alexandria. Energies are from PBE.

The calculation puts the total energy at -2.967 eV per atom. The energy relative to the elements, uncorrected is -1.208 eV/atom.

The structure belongs to space group R-3m (No. 166, hexagonal axes); the cell edges are 7.5807, 7.5807 and 40.8775 Å and the angles 90.00°, 90.00° and 120.00°. Symmetry generates all atoms from Cs at (0.0000, 0.0000, 0.1142), Cs at (0.0000, 0.0000, 0.3067), Na at (0.0000, 0.0000, 0.4128), Se at (0.0000, 0.0000, 0.0000), Se at (0.0000, 0.0000, 0.5000), Cl at (0.0128, 0.5064, 0.7108) and Cl at (0.0308, 0.5154, 0.1321).

Record 7
Here is crystalline Cs3Na2SmCl9 at its relaxed geometry from Alexandria. Energies are from PBE.

The calculation puts the total energy at -3.635 eV per atom. The energy relative to the elements, uncorrected is -1.865 eV/atom.

The structure belongs to space group P-3m1 (No. 164); the cell edges are 7.6753, 7.6753 and 9.7853 Å and the angles 90.00°, 90.00° and 120.00°. Symmetry generates all atoms from Cs at (0.0000, 0.0000, 0.0000), Cs at (0.3333, 0.6667, 0.6776), Na at (0.3333, 0.6667, 0.1716), Sm at (0.0000, 0.0000, 0.5000), Cl at (0.0000, 0.5000, 0.0000) and Cl at (0.1646, 0.3292, 0.3393).

Record 8
Here is crystalline Cs2NaSmCl6 at its relaxed geometry from Alexandria. Energies are from PBE.

The calculation puts the total energy at -4.013 eV per atom. The energy relative to the elements, uncorrected is -2.130 eV/atom.

The structure belongs to space group Fm-3m (No. 225); the cell edges are 11.011, 11.011 and 11.011 Å and the angles 90.00°, 90.00° and 90.00°. Symmetry generates all atoms from Cs at (0.250, 0.250, 0.250), Na at (0.000, 0.000, 0.000), Sm at (0.000, 0.000, 0.500) and Cl at (0.000, 0.000, 0.255).

Record 9
Here is crystalline Cs2NaSnCl6 at its relaxed geometry from Alexandria. Energies are from PBE.

Its energy relative to the lowest polymorph listed for this composition is 0 meV/atom. The calculation puts the total energy at -3.390 eV per atom. The energy relative to the elements, uncorrected is -1.579 eV/atom.

The structure belongs to space group R-3m (No. 166, hexagonal axes); the cell edges are 7.7831, 7.7831 and 40.6194 Å and the angles 90.00°, 90.00° and 120.00°. Symmetry generates all atoms from Cs at (0.0000, 0.0000, 0.1122), Cs at (0.0000, 0.0000, 0.3056), Na at (0.0000, 0.0000, 0.4115), Sn at (0.0000, 0.0000, 0.0000), Sn at (0.0000, 0.0000, 0.5000), Cl at (0.0019, 0.5010, 0.7094) and Cl at (0.0341, 0.5171, 0.1312).

Record 10
Here is crystalline CsNaSnCl4 at its relaxed geometry from Alexandria. Energies are from PBE.

The calculation puts the total energy at -3.416 eV per atom. The energy relative to the elements, uncorrected is -1.478 eV/atom.

The structure belongs to space group P2_1/m (No. 11); the cell edges are 8.381, 7.194 and 9.874 Å and the angles 90.00°, 114.46° and 90.00°. Symmetry generates all atoms from Cs at (0.201, 0.250, 0.478), Na at (0.217, 0.750, 0.171), Sn at (0.308, 0.250, 0.997), Cl at (0.062, 0.250, 0.094), Cl at (0.089, 0.750, 0.370) and Cl at (0.474, 0.501, 0.190).

Record 11
Here is crystalline Cs2NaSnCl6 at its relaxed geometry from Alexandria. Energies are from PBE.

Its energy relative to the lowest polymorph listed for this composition is 19 meV/atom. The calculation puts the total energy at -3.371 eV per atom. The energy relative to the elements, uncorrected is -1.560 eV/atom.

The structure belongs to space group Fm-3m (No. 225); the cell edges are 10.881, 10.881 and 10.881 Å and the angles 90.00°, 90.00° and 90.00°. Symmetry generates all atoms from Cs at (0.250, 0.250, 0.250), Na at (0.000, 0.000, 0.000), Sn at (0.000, 0.000, 0.500) and Cl at (0.000, 0.000, 0.258).

Record 12
Here is crystalline CsNa2Sn2Cl7 at its relaxed geometry from Alexandria. Energies are from PBE.

The calculation puts the total energy at -3.487 eV per atom. The energy relative to the elements, uncorrected is -1.452 eV/atom.

The structure belongs to space group Imm2 (No. 44); the cell edges are 5.674, 23.034 and 5.736 Å and the angles 90.00°, 90.00° and 90.00°. Symmetry generates all atoms from Cs at (0.000, 0.000, 0.000), Na at (0.000, 0.250, 0.491), Sn at (0.000, 0.379, 0.987), Cl at (0.000, 0.123, 0.488), Cl at (0.000, 0.255, 0.990), Cl at (0.000, 0.377, 0.525) and Cl at (0.000, 0.500, 0.977).